(1)
RbSrScO3: optimized geometry, PBE.

Geometry as CIF:
```
data_RbSrScO3
_space_group_name_H-M_alt 'C 1 2/m 1'
_space_group_IT_number 12
_cell_length_a 13.205
_cell_length_b 3.861
_cell_length_c 8.616
_cell_angle_alpha 90.00
_cell_angle_beta 101.76
_cell_angle_gamma 90.00
loop_
_space_group_symop_operation_xyz
'x,y,z'
'-x,-y,-z'
'-x,y,-z'
'x,-y,z'
'x+1/2,y+1/2,z'
'-x+1/2,-y+1/2,-z'
'-x+1/2,y+1/2,-z'
'x+1/2,-y+1/2,z'
loop_
_atom_site_label
_atom_site_fract_x
_atom_site_fract_y
_atom_site_fract_z
Rb1 0.233 0.000 0.153
Sr1 0.134 0.000 0.514
Sc1 0.018 0.500 0.181
O1 0.016 0.000 0.719
O2 0.101 0.500 0.012
O3 0.167 0.500 0.371
```

Summary:
Formation energy without anion corrections, eV per atom: -2.575
Crystal system: monoclinic
Calculated total energy, eV/cell: -157.2

---

(2)
La2Tb3SmHo6: optimized geometry, PBE.

Geometry as CIF:
```
data_La2Tb3SmHo6
_space_group_name_H-M_alt 'C 1 2/m 1'
_space_group_IT_number 12
_cell_length_a 6.211
_cell_length_b 10.756
_cell_length_c 11.812
_cell_angle_alpha 90.00
_cell_angle_beta 100.07
_cell_angle_gamma 90.00
loop_
_space_group_symop_operation_xyz
'x,y,z'
'-x,-y,-z'
'-x,y,-z'
'x,-y,z'
'x+1/2,y+1/2,z'
'-x+1/2,-y+1/2,-z'
'-x+1/2,y+1/2,-z'
'x+1/2,-y+1/2,z'
loop_
_atom_site_label
_atom_site_fract_x
_atom_site_fract_y
_atom_site_fract_z
La1 0.000 0.167 0.000
Tb1 0.000 0.000 0.500
Tb2 0.000 0.333 0.500
Sm1 0.000 0.500 0.000
Ho1 0.247 0.500 0.746
Ho2 0.248 0.166 0.746
```

Summary:
Formation energy from the elements, eV per atom: 0.0200
Crystal system: monoclinic
Calculated total energy, eV/cell: -111.4

---

(3)
K2CaTl2: optimized geometry, PBE.

Geometry as CIF:
```
data_K2CaTl2
_space_group_name_H-M_alt 'P 4/m b m'
_space_group_IT_number 127
_space_group_name_Hall '-P 4 2ab'
_cell_length_a 9.901
_cell_length_b 9.901
_cell_length_c 3.951
_cell_angle_alpha 90.00
_cell_angle_beta 90.00
_cell_angle_gamma 90.00
loop_
_atom_site_label
_atom_site_fract_x
_atom_site_fract_y
_atom_site_fract_z
K1 0.123 0.377 0.000
Ca1 0.000 0.000 0.000
Tl1 0.179 0.679 0.500
```

Summary:
Formation energy from the elements, eV per atom: 0.0558
Crystal system: tetragonal
Calculated total energy, eV/cell: -17.3
Distance to the lowest polymorph of the same formula, eV/atom: 0.0964